Entry from Alexandria via LeMat-Bulk: crystalline K2TaRe at its relaxed geometry (PBE).

The space group is Fm-3m (No. 225) and the conventional cell measures 7.401, 7.401 and 7.401 Å, with angles of 90.00, 90.00 and 90.00 degrees. Symmetry generates all atoms from K at (0.250, 0.250, 0.250), Ta at (0.000, 0.000, 0.000) and Re at (0.000, 0.000, 0.500).

For the total moment, the calculation gives 0.00 μB per formula unit. The excess energy over the best structure of this formula in the dataset comes out at 2.160 eV per atom. For the formation energy from the elements, the calculation gives 2.87 eV per atom.



Entry from Alexandria via LeMat-Bulk: crystalline Mg2TlPb4 at its relaxed geometry (PBE).

The space group is R-3m (No. 166, hexagonal axes) and the conventional cell measures 3.5809, 3.5809 and 54.8294 Å, with angles of 90.00, 90.00 and 120.00 degrees. Symmetry generates all atoms from Mg at (0.0000, 0.0000, 0.0710), Tl at (0.0000, 0.0000, 0.5000), Pb at (0.0000, 0.0000, 0.2183) and Pb at (0.0000, 0.0000, 0.3590).

For the total moment, the calculation gives 0.00 μB per formula unit. The excess energy over the best structure of this formula in the dataset comes out at 0.000 eV per atom. For the formation energy from the elements, the calculation gives -0.01 eV per atom.



Entry from Alexandria via LeMat-Bulk: crystalline SmErCuAg at its relaxed geometry (PBE).

The space group is F-43m (No. 216) and the conventional cell measures 7.176, 7.176 and 7.176 Å, with angles of 90.00, 90.00 and 90.00 degrees. Symmetry generates all atoms from Sm at (0.000, 0.000, 0.000), Er at (0.000, 0.000, 0.500), Cu at (0.250, 0.250, 0.250) and Ag at (0.250, 0.250, 0.750).

For the total moment, the calculation gives 0.00 μB per formula unit. The excess energy over the best structure of this formula in the dataset comes out at 0.027 eV per atom. For the formation energy from the elements, the calculation gives -0.24 eV per atom.



Entry from Alexandria via LeMat-Bulk: crystalline TbCeAl2 at its relaxed geometry (PBE).

The space group is P4/mmm (No. 123) and the conventional cell measures 3.358, 3.358 and 8.375 Å, with angles of 90.00, 90.00 and 90.00 degrees. Symmetry generates all atoms from Tb at (0.000, 0.000, 0.000), Ce at (0.000, 0.000, 0.500) and Al at (0.500, 0.500, 0.246).

For the total moment, the calculation gives 0.19 μB per formula unit. For the formation energy from the elements, the calculation gives -0.34 eV per atom.